No. 1
VASP calculation (GGA-PBE) on a geometry-optimized Ir12OsRu3 structure.

CIF file:
```
data_Ir12OsRu3
_cell_length_a 3.860
_cell_length_b 3.860
_cell_length_c 15.438
_cell_angle_alpha 90.00
_cell_angle_beta 90.00
_cell_angle_gamma 90.00
_symmetry_space_group_name_H-M 'P 1'
_symmetry_Int_Tables_number 1
loop_
_symmetry_equiv_pos_as_xyz
'x,y,z'
loop_
_atom_site_label
_atom_site_type_symbol
_atom_site_fract_x
_atom_site_fract_y
_atom_site_fract_z
_atom_site_occupancy
Ir1 Ir 0.500 0.500 0.250 1
Ru1 Ru 0.000 0.000 0.749 1
Ir2 Ir 0.500 0.000 0.625 1
Ir3 Ir 0.500 0.500 0.500 1
Ir4 Ir 0.500 0.500 0.750 1
Ir5 Ir 0.500 0.000 0.875 1
Ru2 Ru 0.000 0.000 0.500 1
Ir6 Ir 0.000 0.500 0.625 1
Ir7 Ir 0.000 0.500 0.875 1
Ir8 Ir 0.500 0.500 0.000 1
Ir9 Ir 0.500 0.000 0.375 1
Ir10 Ir 0.000 0.500 0.125 1
Ru3 Ru 0.000 0.000 0.251 1
Ir11 Ir 0.000 0.500 0.375 1
Ir12 Ir 0.500 0.000 0.125 1
Os1 Os 0.000 0.000 0.000 1
```

Summary:
Its crystal system is tetragonal. As for the space-group type: No. 123. For the energy, the calculation gives -145.7 eV/cell. The calculation puts the formation enthalpy at 0 K at -0.0185 eV per atom.

No. 2
VASP calculation (GGA-PBE) on a geometry-optimized Dy8Te4PS3 structure.

CIF file:
```
data_Dy8Te4PS3
_cell_length_a 8.170
_cell_length_b 8.419
_cell_length_c 8.170
_cell_angle_alpha 119.03
_cell_angle_beta 120.00
_cell_angle_gamma 90.00
_symmetry_space_group_name_H-M 'P 1'
_symmetry_Int_Tables_number 1
loop_
_symmetry_equiv_pos_as_xyz
'x,y,z'
loop_
_atom_site_label
_atom_site_type_symbol
_atom_site_fract_x
_atom_site_fract_y
_atom_site_fract_z
_atom_site_occupancy
Te1 Te 0.500 0.000 0.500 1
Dy1 Dy 0.234 0.704 0.971 1
P1 P 0.000 0.500 0.000 1
Dy2 Dy 0.737 0.704 0.971 1
S1 S 0.000 0.500 0.500 1
Dy3 Dy 0.735 0.704 0.469 1
S2 S 0.500 0.500 0.500 1
Dy4 Dy 0.265 0.296 0.531 1
Te2 Te 0.000 0.000 0.000 1
Dy5 Dy 0.263 0.296 0.029 1
S3 S 0.500 0.500 0.000 1
Dy6 Dy 0.234 0.704 0.467 1
Dy7 Dy 0.766 0.296 0.533 1
Te3 Te 0.500 0.000 0.000 1
Dy8 Dy 0.766 0.296 0.029 1
Te4 Te 0.000 0.000 0.500 1
```

Summary:
Its crystal system is trigonal. As for the space-group type: No. 166. For the energy, the calculation gives -93.4 eV/cell. Its formation energy from raw total energies is -1.642 eV/atom.

No. 3
VASP calculation (GGA-PBE) on a geometry-optimized Tl2AgOs structure.

CIF file:
```
data_Tl2AgOs
_cell_length_a 10.756
_cell_length_b 10.756
_cell_length_c 10.756
_cell_angle_alpha 16.29
_cell_angle_beta 16.29
_cell_angle_gamma 16.29
_symmetry_space_group_name_H-M 'P 1'
_symmetry_Int_Tables_number 1
loop_
_symmetry_equiv_pos_as_xyz
'x,y,z'
loop_
_atom_site_label
_atom_site_type_symbol
_atom_site_fract_x
_atom_site_fract_y
_atom_site_fract_z
_atom_site_occupancy
Tl1 Tl 0.011 0.011 0.011 1
Ag1 Ag 0.491 0.491 0.491 1
Tl2 Tl 0.244 0.244 0.244 1
Os1 Os 0.754 0.754 0.754 1
```

Summary:
The energy relative to the lowest polymorph listed for this composition comes out at 0.50 eV/f.u. Its crystal system is trigonal. As for the space-group type: No. 160. For the energy, the calculation gives -15.7 eV/cell. The calculation puts the formation enthalpy at 0 K at 0.7722 eV per atom.